Pr2Cu6Ni3: optimized geometry, PBE.

Geometry as POSCAR:
```
Pr2Cu6Ni3
1.0
3.903 0.000 0.000
0.000 7.219 0.000
0.000 -3.609 6.252
Pr Cu Ni
2 6 3
Direct
0.000 0.667 0.333 Pr
0.000 0.333 0.667 Pr
0.500 0.747 0.747 Cu
0.500 0.000 0.253 Cu
0.000 0.196 0.196 Cu
0.000 0.804 0.000 Cu
0.500 0.253 0.000 Cu
0.000 0.000 0.804 Cu
0.500 0.401 0.401 Ni
0.500 0.599 0.000 Ni
0.500 0.000 0.599 Ni
```

## Properties
Crystal system ... hexagonal
DFT formation energy ... -0.101 eV per atom
Energy ... -4.781 eV per atom
N(E_F) ... 0.3811 states/eV/atom
Space group ... No. 189

UPaZn2O8: optimized geometry, PBE.

Geometry as POSCAR:
```
UPaZn2O8
1.0
4.700 0.021 -0.003
0.067 4.706 -0.005
0.004 0.007 7.130
U Pa Zn O
1 1 2 8
Direct
0.000 0.000 0.000 U
0.000 0.000 0.500 Pa
0.500 0.500 0.747 Zn
0.500 0.500 0.253 Zn
0.196 0.802 0.243 O
0.707 0.710 0.000 O
0.804 0.198 0.243 O
0.804 0.198 0.757 O
0.293 0.290 0.000 O
0.196 0.802 0.757 O
0.695 0.697 0.500 O
0.305 0.303 0.500 O
```

## Properties
Crystal system ... monoclinic
Formation energy without anion corrections ... -2.426 eV/atom
Energy ... -7.675 eV per atom
N(E_F) ... 0.7693 states/eV/atom
Space group ... No. 10

CoSeBr2: optimized geometry, PBE.

Geometry as POSCAR:
```
CoSeBr2
1.0
3.590 0.000 0.000
0.000 7.172 0.000
0.000 0.000 4.025
Br Co Se
2 1 1
Direct
0.000 0.000 0.000 Br
0.500 0.500 0.000 Br
0.500 0.000 0.500 Co
0.000 0.500 0.500 Se
```

## Properties
Crystal system ... orthorhombic
Formation energy without anion corrections ... 0.507 eV/atom
Energy ... -2.977 eV per atom
N(E_F) ... 1.2522 states/eV/atom
Space group ... No. 47

Dy3MgSc2: optimized geometry, PBE.

Geometry as POSCAR:
```
Dy3MgSc2
1.0
-0.237 -0.803 3.403
2.108 -2.754 -0.503
10.803 7.794 2.592
Dy Mg Sc
3 1 2
Direct
0.000 0.000 0.000 Dy
0.000 0.000 0.665 Dy
0.000 0.000 0.335 Dy
0.500 0.500 0.500 Mg
0.500 0.500 0.832 Sc
0.500 0.500 0.168 Sc
```

## Properties
Crystal system ... tetragonal
DFT formation energy ... 0.009 eV per atom
Energy ... -4.669 eV per atom
E above lowest polymorph ... 0 meV/atom
N(E_F) ... 1.7431 states/eV/atom
Space group ... No. 123

MgIn2Sn3: optimized geometry, PBE.

Geometry as POSCAR:
```
MgIn2Sn3
1.0
-0.426 -0.419 4.809
1.457 -4.205 -0.237
6.156 4.442 0.932
Mg In Sn
1 2 3
Direct
0.000 0.000 0.000 Mg
0.000 0.663 0.326 In
0.000 0.337 0.674 In
0.500 0.163 0.326 Sn
0.500 0.500 0.000 Sn
0.500 0.837 0.674 Sn
```

## Properties
Crystal system ... orthorhombic
DFT formation energy ... -0.010 eV per atom
Energy ... -3.190 eV per atom
N(E_F) ... 0.3957 states/eV/atom
Space group ... No. 65

PmSbAsAu: optimized geometry, PBE.

Geometry as POSCAR:
```
PmSbAsAu
1.0
5.118 0.000 0.000
2.559 4.432 0.000
2.559 1.477 4.179
Sb As Au Pm
1 1 1 1
Direct
0.250 0.250 0.250 Sb
0.500 0.500 0.500 As
0.000 0.000 0.000 Au
0.750 0.750 0.750 Pm
```

## Properties
Crystal system ... cubic
Formation energy without anion corrections ... -0.472 eV/atom
Energy ... -4.672 eV per atom
N(E_F) ... 0.7919 states/eV/atom
Space group ... No. 216

MgCoRe: optimized geometry, PBE.

Geometry as POSCAR:
```
MgCoRe
1.0
-1.643 3.698 -4.318
-2.759 1.272 -5.078
-2.498 0.892 0.821
Co Mg Re
1 1 1
Direct
0.988 0.988 0.012 Co
0.658 0.658 0.342 Mg
0.353 0.353 0.647 Re
```

## Properties
Crystal system ... tetragonal
DFT formation energy ... 0.128 eV per atom
Energy ... -6.921 eV per atom
E above lowest polymorph ... 65 meV/atom
N(E_F) ... 0.7092 states/eV/atom
Space group ... No. 107

CaAcCu2Si2: optimized geometry, PBE.

Geometry as POSCAR:
```
CaAcCu2Si2
1.0
4.199 0.000 0.000
-2.099 3.636 0.000
0.000 0.000 8.519
Ca Ac Cu Si
1 1 2 2
Direct
0.000 0.000 0.500 Ca
0.000 0.000 0.000 Ac
0.667 0.333 0.731 Cu
0.333 0.667 0.269 Cu
0.667 0.333 0.260 Si
0.333 0.667 0.740 Si
```

## Properties
Crystal system ... trigonal
Formation energy without anion corrections ... -0.474 eV/atom
Energy ... -4.665 eV per atom
N(E_F) ... 0.6206 states/eV/atom
Space group ... No. 164

Cd2AsPd4: optimized geometry, PBE.

Geometry as POSCAR:
```
Cd2AsPd4
1.0
-1.524 -3.355 2.772
3.910 0.234 2.433
-1.674 3.172 6.754
As Pd Cd
1 4 2
Direct
0.000 0.000 0.000 As
0.173 0.173 0.653 Pd
0.827 0.827 0.347 Pd
0.000 0.500 0.000 Pd
0.500 0.000 0.000 Pd
0.369 0.369 0.263 Cd
0.631 0.631 0.737 Cd
```

## Properties
Crystal system ... tetragonal
DFT formation energy ... 0.032 eV per atom
Energy ... -3.861 eV per atom
N(E_F) ... 0.5602 states/eV/atom
Space group ... No. 139

LiLa2Dy3Te6: optimized geometry, PBE.

Geometry as POSCAR:
```
LiLa2Dy3Te6
1.0
-1.991 -1.949 -3.417
-5.224 -4.517 5.621
-3.958 9.106 -0.044
Li La Dy Te
1 2 3 6
Direct
0.500 0.000 0.000 Li
0.832 0.664 0.664 La
0.168 0.336 0.336 La
0.500 0.500 0.000 Dy
0.830 0.170 0.660 Dy
0.170 0.830 0.340 Dy
0.338 0.932 0.675 Te
0.662 0.591 0.324 Te
0.662 0.068 0.325 Te
0.996 0.245 0.991 Te
0.004 0.755 0.009 Te
0.338 0.409 0.676 Te
```

## Properties
Crystal system ... monoclinic
Formation energy without anion corrections ... -1.398 eV/atom
Energy ... -5.100 eV per atom
N(E_F) ... 0.3811 states/eV/atom
Space group ... No. 12